VASP calculation (PBE-GGA) on a relaxed EuLuHf crystal.

CIF file:
```
data_EuLuHf
_cell_length_a 7.989
_cell_length_b 7.989
_cell_length_c 7.989
_cell_angle_alpha 155.65
_cell_angle_beta 155.65
_cell_angle_gamma 34.71
_symmetry_space_group_name_H-M 'P 1'
_symmetry_Int_Tables_number 1
_symmetry_space_group_name_Hall 'P 1'
loop_
_atom_site_label
_atom_site_type_symbol
_atom_site_fract_x
_atom_site_fract_y
_atom_site_fract_z
Eu1 Eu 0.000 0.000 0.000
Lu1 Lu 0.308 0.308 0.000
Hf1 Hf 0.669 0.669 0.000
```

Computed properties:
energy relative to the elements = 195 meV/atom
raw total energy = -8.0548 eV per atom
spin magnetization = 7.3 μB per formula unit
D(E_F) = 3.51 states/eV per cell
space-group type = I4mm (107)